1.
La5SiSn2: relaxed, PBE.

Lattice parameters (Å, degrees): 8.460 12.921 4.812 90.00 90.00 90.00
Space group Pbam (No. 55)
Inequivalent atoms, fractional coordinates:
La  0.000  0.000  0.000 [2 per cell]
La  0.150  0.290  0.000 [4 per cell]
La  0.193  0.566  0.500 [4 per cell]
Si  0.000  0.500  0.000 [2 per cell]
Sn  0.074  0.828  0.500 [4 per cell]

The calculation puts the density of states at the Fermi level at 20.81 states/eV/cell. The total magnetic moment is 0.9 μB/cell. The value obtained for the uncorrected formation energy is -0.6669 eV/atom.

---

2.
Rb2TiMoI6: relaxed, PBE.

Lattice parameters (Å, degrees): 8.092 8.092 11.327 90.00 90.00 90.00
Space group I4/mmm (No. 139)
Inequivalent atoms, fractional coordinates:
Rb  0.000  0.500  0.250 [4 per cell]
Ti  0.000  0.000  0.000 [2 per cell]
Mo  0.000  0.000  0.500 [2 per cell]
I  0.000  0.000  0.251 [4 per cell]
I  0.248  0.248  0.500 [8 per cell]

The calculation puts the density of states at the Fermi level at 16.45 states/eV/cell. The total magnetic moment is 0.3 μB/cell. The value obtained for the uncorrected formation energy is -0.5200 eV/atom.

---

3.
Ta3CdAu: relaxed, PBE.

Lattice parameters (Å, degrees): 4.961 4.961 4.961 90.00 90.00 90.00
Space group Pm-3m (No. 221)
Inequivalent atoms, fractional coordinates:
Ta  0.000  0.000  0.500 [3 per cell]
Cd  0.500  0.500  0.500 [1 per cell]
Au  0.000  0.000  0.000 [1 per cell]

The calculation puts the density of states at the Fermi level at 7.48 states/eV/cell. For the energy above the most stable polymorph in this dataset, the calculation gives 0.0 meV per atom. The total magnetic moment is 0.0 μB/cell. The energy relative to the elements is 1.6272 eV per atom.